Dy5Al2Tl | GGA-PBE | optimized geometry

Cell: 7.816 7.816 9.102 Å, 115.43 115.43 90.00°
Fractional coordinates of all 16 atoms:
1 Tl 0.750 0.750 0.500
2 Tl 0.250 0.250 0.500
3 Dy 0.000 0.000 0.000
4 Dy 0.314 0.814 0.292
5 Dy 0.521 0.686 0.708
6 Dy 0.814 0.979 0.292
7 Dy 0.979 0.479 0.292
8 Dy 0.186 0.021 0.708
9 Dy 0.021 0.521 0.708
10 Dy 0.686 0.186 0.708
11 Dy 0.479 0.314 0.292
12 Dy 0.500 0.500 0.000
13 Al 0.378 0.878 0.000
14 Al 0.878 0.622 0.000
15 Al 0.122 0.378 0.000
16 Al 0.622 0.122 0.000

Output
The space-group type is No. 140. The value obtained for the volume is 27.61 Å³/atom. For the formation energy, the calculation gives -0.3133 eV per atom.